# LiFeSN2

A crystal of LiFeSN2 relaxed with PBEsol (SCAN, the Alexandria database).

a = 3.4872 Å, b = 3.4872 Å, c = 4.9536 Å
α = 90.00°, β = 90.00°, γ = 90.00°
Closest atoms and distances in Å follow each position.
Positions (direct):
Li 0.5000 0.5000 0.5000  4 S 2.47
N 0.0000 0.5000 0.0000  2 Fe 1.74
Fe 0.0000 0.0000 0.0000  4 N 1.74
S 0.0000 0.0000 0.5000  4 Li 2.47, 2 Fe 2.48
N 0.5000 0.0000 0.0000  2 Fe 1.74

Calculated values
Uncorrected formation energy in meV/atom: 401
Density in g cm⁻³: 3.39
Total energy in eV/cell: -46.7
Magnetization in Bohr magnetons per cell: 0.00


# Sr2LiFe2N3

A crystal of Sr2LiFe2N3 relaxed with PBEsol (SCAN, the Alexandria database).

a = 6.4061 Å, b = 6.4061 Å, c = 6.4308 Å
α = 90.90°, β = 90.90°, γ = 119.73°
Closest atoms and distances in Å follow each position.
Positions (direct):
N 0.2797 0.9989 0.5153  2 Fe 1.81-1.82, 1 Li 1.99
Fe 0.5715 0.1627 0.3966  3 N 1.81-1.82
Li 0.8064 0.1936 0.7500  2 N 1.99
Sr 0.8220 0.6800 0.5970  5 N 2.56-2.72
Fe 0.4285 0.8373 0.6034  3 N 1.81-1.82
N 0.4106 0.5894 0.7500  2 Fe 1.81
Fe 0.1627 0.5715 0.8966  3 N 1.81-1.82
Sr 0.3200 0.1780 0.9030  5 N 2.56-2.72
N 0.0011 0.7203 0.9847  2 Fe 1.81-1.82, 1 Li 1.99
Sr 0.1780 0.3200 0.4030  5 N 2.56-2.72
Fe 0.8373 0.4285 0.1034  3 N 1.81-1.82
Sr 0.6800 0.8220 0.0970  5 N 2.56-2.72
N 0.9989 0.2797 0.0153  2 Fe 1.81-1.82, 1 Li 1.99
N 0.7203 0.0011 0.4847  2 Fe 1.81-1.82, 1 Li 1.99
N 0.5894 0.4106 0.2500  2 Fe 1.81
Li 0.1936 0.8064 0.2500  2 N 1.99

Calculated values
Uncorrected formation energy in meV/atom: -653
Density in g cm⁻³: 4.87
Total energy in eV/cell: -232.6
Magnetization in Bohr magnetons per cell: 6.96


# Li2NbFe

A crystal of Li2NbFe relaxed with PBEsol (SCAN, the Alexandria database).

a = 4.2004 Å, b = 4.2004 Å, c = 4.2004 Å
α = 60.00°, β = 60.00°, γ = 60.00°
Closest atoms and distances in Å follow each position.
Positions (direct):
Li 0.7500 0.7500 0.7500  4 Nb 2.57, 4 Fe 2.57
Nb 0.5000 0.5000 0.5000  8 Li 2.57
Li 0.2500 0.2500 0.2500  4 Nb 2.57, 4 Fe 2.57
Fe 0.0000 0.0000 0.0000  8 Li 2.57

Calculated values
Density in g cm⁻³: 5.15
E above lowest polymorph in meV/atom: 0
Energy relative to the elements in eV per atom: 0.6150
Total energy in eV/cell: -53.6
Magnetization in Bohr magnetons per cell: 2.59


# Li2NbFe

A crystal of Li2NbFe relaxed with PBEsol (SCAN, the Alexandria database).

a = 4.6430 Å, b = 5.4421 Å, c = 5.4421 Å
α = 79.52°, β = 64.75°, γ = 64.75°
Closest atoms and distances in Å follow each position.
Positions (direct):
Nb 0.0000 0.0000 0.0000  2 Fe 2.32
Nb 0.7500 0.5000 0.5000  2 Fe 2.32
Li 0.5951 0.5299 0.0299  2 Li 2.36, 2 Fe 2.39
Fe 0.2500 0.5000 0.5000  2 Nb 2.32, 4 Li 2.39
Li 0.1549 0.4701 0.9701  2 Li 2.36, 2 Fe 2.39
Li 0.8750 0.9701 0.5299  2 Li 2.36, 2 Fe 2.39
Fe 0.5000 0.0000 0.0000  2 Nb 2.32, 4 Li 2.39
Li 0.3750 0.0299 0.4701  2 Li 2.36, 2 Fe 2.39

Calculated values
Density in g cm⁻³: 4.80
E above lowest polymorph in meV/atom: 158
Energy relative to the elements in eV per atom: 0.7729
Total energy in eV/cell: -105.9
Magnetization in Bohr magnetons per cell: 1.89


# Li4Nb2Fe3O10

A crystal of Li4Nb2Fe3O10 relaxed with PBEsol (SCAN, the Alexandria database).

a = 5.1535 Å, b = 5.1224 Å, c = 7.9911 Å
α = 102.19°, β = 108.40°, γ = 101.03°
Closest atoms and distances in Å follow each position.
Positions (direct):
O 0.6777 0.8804 0.4475  2 Nb 1.97-2.07, 2 Li 2.09-2.13
Li 0.8760 0.2407 0.3935  5 O 1.98-2.14
O 0.7019 0.3429 0.9339  1 Li 2.06, 1 Nb 2.10, 3 Fe 2.10-2.12
Fe 0.5000 0.0000 0.0000  6 O 2.02-2.14
O 0.8950 0.9544 0.1671  1 Nb 2.03, 3 Fe 2.07-2.15, 2 Li 2.12-2.17
Li 0.6738 0.5921 0.2174  5 O 2.02-2.17
O 0.3223 0.1196 0.5525  2 Nb 1.97-2.07, 2 Li 2.09-2.13
Fe 0.0842 0.2735 0.0853  6 O 2.06-2.21
O 0.9285 0.4428 0.6694  1 Nb 1.91, 3 Li 1.98-2.14
O 0.0715 0.5572 0.3306  1 Nb 1.91, 3 Li 1.98-2.14
O 0.1050 0.0456 0.8329  1 Nb 2.03, 3 Fe 2.07-2.15, 2 Li 2.12-2.17
O 0.4699 0.2209 0.2310  2 Fe 2.02-2.06, 2 Li 2.03-2.05, 1 Nb 2.09
Li 0.1240 0.7593 0.6065  5 O 1.98-2.14
Nb 0.2712 0.8936 0.3054  6 O 1.91-2.10
O 0.2981 0.6571 0.0661  1 Li 2.06, 1 Nb 2.10, 3 Fe 2.10-2.12
Li 0.3262 0.4079 0.7826  5 O 2.02-2.17
O 0.5301 0.7791 0.7689  2 Fe 2.02-2.06, 2 Li 2.03-2.05, 1 Nb 2.09
Fe 0.9158 0.7265 0.9147  6 O 2.06-2.21
Nb 0.7288 0.1064 0.6946  6 O 1.91-2.10

Calculated values
Uncorrected formation energy in meV/atom: -2154
Density in g cm⁻³: 4.78
Total energy in eV/cell: -233.4
Magnetization in Bohr magnetons per cell: 12.00


# Li2NbFe3O8

A crystal of Li2NbFe3O8 relaxed with PBEsol (SCAN, the Alexandria database).

a = 8.1090 Å, b = 8.1090 Å, c = 8.1090 Å
α = 90.00°, β = 90.00°, γ = 90.00°
Closest atoms and distances in Å follow each position.
Positions (direct):
O 0.3755 0.8641 0.3621  1 Li 1.92, 2 Fe 1.93, 1 Nb 2.04
Fe 0.3766 0.3750 0.6266  6 O 1.89-1.93
Li 0.0111 0.4889 0.5111  4 O 1.89-1.92
Fe 0.1250 0.3734 0.8766  6 O 1.89-1.93
Fe 0.3750 0.6266 0.3766  6 O 1.89-1.93
Fe 0.1234 0.6250 0.1266  6 O 1.89-1.93
Fe 0.8750 0.8734 0.6234  6 O 1.89-1.93
Fe 0.3734 0.8766 0.1250  6 O 1.89-1.93
O 0.8879 0.3859 0.8745  1 Li 1.92, 2 Fe 1.93, 1 Nb 2.04
Fe 0.6250 0.1266 0.1234  6 O 1.89-1.93
O 0.6255 0.1121 0.8859  1 Li 1.92, 2 Fe 1.93, 1 Nb 2.04
O 0.8859 0.6255 0.1121  1 Li 1.92, 2 Fe 1.93, 1 Nb 2.04
O 0.3641 0.1379 0.6245  1 Li 1.92, 2 Fe 1.93, 1 Nb 2.04
Li 0.7611 0.2389 0.7389  4 O 1.89-1.92
Nb 0.3750 0.1250 0.8750  6 O 2.04
O 0.8621 0.1245 0.1359  1 Li 1.92, 2 Fe 1.93, 1 Nb 2.04
O 0.3621 0.3755 0.8641  1 Li 1.92, 2 Fe 1.93, 1 Nb 2.04
O 0.8641 0.3621 0.3755  1 Li 1.92, 2 Fe 1.93, 1 Nb 2.04
O 0.6245 0.3641 0.1379  1 Li 1.92, 2 Fe 1.93, 1 Nb 2.04
Fe 0.8766 0.1250 0.3734  6 O 1.89-1.93
O 0.1141 0.1255 0.3879  1 Li 1.92, 2 Fe 1.93, 1 Nb 2.04
Li 0.5111 0.0111 0.4889  4 O 1.89-1.92
O 0.6359 0.6379 0.8755  1 Li 1.92, 2 Fe 1.93, 1 Nb 2.04
Nb 0.1250 0.8750 0.3750  6 O 2.04
O 0.1121 0.8859 0.6255  1 Li 1.92, 2 Fe 1.93, 1 Nb 2.04
O 0.1245 0.1359 0.8621  1 Li 1.92, 2 Fe 1.93, 1 Nb 2.04
O 0.8955 0.1045 0.6045  3 Fe 1.89, 1 Li 1.89
O 0.3879 0.1141 0.1255  1 Li 1.92, 2 Fe 1.93, 1 Nb 2.04
O 0.1379 0.6245 0.3641  1 Li 1.92, 2 Fe 1.93, 1 Nb 2.04
O 0.8755 0.6359 0.6379  1 Li 1.92, 2 Fe 1.93, 1 Nb 2.04
O 0.6141 0.3745 0.6121  1 Li 1.92, 2 Fe 1.93, 1 Nb 2.04
O 0.3545 0.6455 0.1455  3 Fe 1.89, 1 Li 1.89
O 0.8745 0.8879 0.3859  1 Li 1.92, 2 Fe 1.93, 1 Nb 2.04
O 0.3745 0.6121 0.6141  1 Li 1.92, 2 Fe 1.93, 1 Nb 2.04
O 0.3859 0.8745 0.8879  1 Li 1.92, 2 Fe 1.93, 1 Nb 2.04
O 0.1255 0.3879 0.1141  1 Li 1.92, 2 Fe 1.93, 1 Nb 2.04
Nb 0.6250 0.6250 0.6250  6 O 2.04
O 0.3955 0.3955 0.3955  3 Fe 1.89, 1 Li 1.89
Li 0.2611 0.2611 0.2611  4 O 1.89-1.92
O 0.6045 0.8955 0.1045  3 Fe 1.89, 1 Li 1.89
O 0.1455 0.3545 0.6455  3 Fe 1.89, 1 Li 1.89
Nb 0.8750 0.3750 0.1250  6 O 2.04
Fe 0.8734 0.6234 0.8750  6 O 1.89-1.93
Li 0.4889 0.5111 0.0111  4 O 1.89-1.92
O 0.1045 0.6045 0.8955  3 Fe 1.89, 1 Li 1.89
O 0.6455 0.1455 0.3545  3 Fe 1.89, 1 Li 1.89
O 0.6379 0.8755 0.6359  1 Li 1.92, 2 Fe 1.93, 1 Nb 2.04
Li 0.7389 0.7611 0.2389  4 O 1.89-1.92
Fe 0.1266 0.1234 0.6250  6 O 1.89-1.93
O 0.6121 0.6141 0.3745  1 Li 1.92, 2 Fe 1.93, 1 Nb 2.04
Li 0.9889 0.9889 0.9889  4 O 1.89-1.92
Li 0.2389 0.7389 0.7611  4 O 1.89-1.92
Fe 0.6266 0.3766 0.3750  6 O 1.89-1.93
Fe 0.6234 0.8750 0.8734  6 O 1.89-1.93
O 0.1359 0.8621 0.1245  1 Li 1.92, 2 Fe 1.93, 1 Nb 2.04
O 0.8545 0.8545 0.8545  3 Fe 1.89, 1 Li 1.89

Calculated values
Uncorrected formation energy in meV/atom: -1997
Density in g cm⁻³: 5.01
E above lowest polymorph in meV/atom: 8
Total energy in eV/cell: -680.4
Magnetization in Bohr magnetons per cell: 12.00